VASP calculation (PBE) on a geometry-optimized GaSnBi2 structure.

Cell: 4.8332 4.8332 4.9005 Å, 90.00 90.00 90.00°
Sites, in units of the cell vectors:
Ga 0.0000 0.0000 0.0000
Sn 0.5000 0.5000 0.0000
Bi 0.0000 0.5000 0.5000
Bi 0.5000 0.0000 0.5000

Computed properties:
energy of formation from the pure elements = 0.36 eV/f.u.
total energy = -3.607 eV per atom

---

VASP calculation (PBE) on a geometry-optimized Pm6SmDy6 structure.

Cell: 6.6206 6.6206 11.2098 Å, 90.00 90.00 115.13°
Sites, in units of the cell vectors:
Pm 0.0000 0.0000 0.1692
Pm 0.0000 0.0000 0.8308
Pm 0.2645 0.7355 0.0000
Pm 0.3578 0.6422 0.5000
Pm 0.6422 0.3578 0.5000
Pm 0.7355 0.2645 0.0000
Sm 0.0000 0.0000 0.5000
Dy 0.0000 0.5000 0.2750
Dy 0.0000 0.5000 0.7250
Dy 0.5000 0.0000 0.2750
Dy 0.5000 0.0000 0.7250
Dy 0.5000 0.5000 0.1981
Dy 0.5000 0.5000 0.8019

Computed properties:
energy of formation from the pure elements = 2.84 eV/f.u.
total energy = -4.461 eV per atom

---

VASP calculation (PBE) on a geometry-optimized LiCeSm2S4 structure.

Cell: 6.8760 3.9865 6.9141 Å, 90.00 109.47 90.00°
Sites, in units of the cell vectors:
Li 0.0000 0.0000 0.0000
Ce 0.5000 0.5000 0.0000
Sm 0.0000 0.5000 0.5000
Sm 0.5000 0.0000 0.5000
S 0.2441 0.0000 0.7536
S 0.2439 0.5000 0.2446
S 0.7559 0.0000 0.2464
S 0.7561 0.5000 0.7554

Computed properties:
formation energy without anion corrections = -1916 meV/atom
total energy = -6.140 eV per atom